Model w:
VASP calculation (meta-GGA SCAN) on a crystal of CaTcMo2 relaxed with PBEsol.

Cell and atoms, written as POSCAR:
```
CaTcMo2
1.0
3.107 0.000 0.000
0.000 4.803 0.000
0.000 0.000 9.044
Ca Tc Mo
2 2 4
Direct
0.000 0.000 0.000
0.500 0.500 0.500
0.000 0.500 0.232
0.500 0.000 0.732
0.000 0.000 0.506
0.000 0.500 0.773
0.500 0.000 0.273
0.500 0.500 0.006
```

Summary:
D(E_F) in states/eV/cell: 7.5
Total magnetization in μB/atom: 0.00

***

Model x:
VASP calculation (meta-GGA SCAN) on a crystal of CaTcMo2 relaxed with PBEsol.

Cell and atoms, written as POSCAR:
```
CaTcMo2
1.0
5.505 0.000 0.000
0.000 9.429 0.000
-0.808 0.000 2.533
Ca Tc Mo
2 2 4
Direct
0.000 0.000 0.000
0.500 0.500 0.000
0.000 0.500 0.000
0.500 0.000 0.000
0.250 0.250 0.500
0.250 0.750 0.500
0.750 0.250 0.500
0.750 0.750 0.500
```

Summary:
D(E_F) in states/eV/cell: 6.4
Total magnetization in μB/atom: 0.00

***

Model y:
VASP calculation (meta-GGA SCAN) on a crystal of CaTcMo2 relaxed with PBEsol.

Cell and atoms, written as POSCAR:
```
CaTcMo2
1.0
9.785 0.000 0.000
0.000 3.087 0.000
-1.784 0.000 4.859
Ca Tc Mo
2 2 4
Direct
0.000 0.000 0.000
0.500 0.500 0.000
0.224 0.000 0.672
0.724 0.500 0.672
0.005 0.500 0.507
0.285 0.500 0.334
0.505 0.000 0.507
0.785 0.000 0.334
```

Summary:
D(E_F) in states/eV/cell: 6.5
Total magnetization in μB/atom: 0.00

***

Stability summary: most stable model y, least stable model x.

***

Model w:
VASP calculation (meta-GGA SCAN) on a crystal of Ca2TcMo relaxed with PBEsol.

Cell and atoms, written as POSCAR:
```
Ca2TcMo
1.0
5.486 0.000 0.000
0.000 10.057 0.000
0.000 0.000 2.750
Ca Tc Mo
4 2 2
Direct
0.250 0.250 0.000
0.250 0.750 0.000
0.750 0.250 0.000
0.750 0.750 0.000
0.000 0.000 0.500
0.500 0.500 0.500
0.000 0.500 0.500
0.500 0.000 0.500
```

Summary:
D(E_F) in states/eV/cell: 5.6
Total magnetization in μB/atom: 0.00

***

Model x:
VASP calculation (meta-GGA SCAN) on a crystal of Ca2TcMo relaxed with PBEsol.

Cell and atoms, written as POSCAR:
```
Ca2TcMo
1.0
3.298 0.000 0.000
-1.649 2.856 0.000
0.000 0.000 29.906
Ca Tc Mo
6 3 3
Direct
0.000 0.000 0.000
0.000 0.000 0.218
0.333 0.667 0.667
0.333 0.667 0.885
0.667 0.333 0.333
0.667 0.333 0.552
0.000 0.000 0.748
0.333 0.667 0.414
0.667 0.333 0.081
0.000 0.000 0.465
0.333 0.667 0.132
0.667 0.333 0.799
```

Summary:
D(E_F) in states/eV/cell: 11.4
Total magnetization in μB/atom: 0.00

***

Stability summary: most stable model x, least stable model w.

***

Model w:
VASP calculation (meta-GGA SCAN) on a crystal of CaTlMo2 relaxed with PBEsol.

Cell and atoms, written as POSCAR:
```
CaTlMo2
1.0
8.381 0.000 0.000
0.000 3.073 0.000
-0.778 0.000 6.728
Ca Tl Mo
2 2 4
Direct
0.000 0.000 0.000
0.500 0.500 0.000
0.246 0.000 0.684
0.746 0.500 0.684
0.000 0.500 0.433
0.266 0.500 0.300
0.500 0.000 0.433
0.766 0.000 0.300
```

Summary:
D(E_F) in states/eV/cell: 5.5
Total magnetization in μB/atom: 0.00

***

Model x:
VASP calculation (meta-GGA SCAN) on a crystal of CaTlMo2 relaxed with PBEsol.

Cell and atoms, written as POSCAR:
```
CaTlMo2
1.0
3.285 0.000 0.000
0.000 3.277 0.000
-0.068 0.000 7.571
Ca Tl Mo
1 1 2
Direct
0.000 0.000 0.000
0.494 0.500 0.697
0.503 0.500 0.287
0.984 0.000 0.442
```

Summary:
D(E_F) in states/eV/cell: 2.9
Total magnetization in μB/atom: 0.00

***

Stability summary: most stable model x, least stable model w.

***

Model w:
VASP calculation (meta-GGA SCAN) on a crystal of CaYMo2 relaxed with PBEsol.

Cell and atoms, written as POSCAR:
```
CaYMo2
1.0
4.009 0.000 0.000
0.000 4.009 0.000
0.000 0.000 9.907
Ca Y Mo
2 2 4
Direct
0.000 0.000 0.000
0.500 0.500 0.500
0.000 0.000 0.500
0.500 0.500 0.000
0.000 0.500 0.250
0.000 0.500 0.750
0.500 0.000 0.250
0.500 0.000 0.750
```

Summary:
D(E_F) in states/eV/cell: 6.7
Total magnetization in μB/atom: 0.00

***

Model x:
VASP calculation (meta-GGA SCAN) on a crystal of CaYMo2 relaxed with PBEsol.

Cell and atoms, written as POSCAR:
```
CaYMo2
1.0
3.367 0.000 0.000
0.000 4.470 0.000
0.000 0.000 6.381
Ca Y Mo
1 1 2
Direct
0.000 0.000 0.000
0.000 0.000 0.500
0.500 0.500 0.328
0.500 0.500 0.672
```

Summary:
D(E_F) in states/eV/cell: 3.6
Total magnetization in μB/atom: 0.00

***

Stability summary: most stable model x, least stable model w.

***

Model w:
VASP calculation (meta-GGA SCAN) on a crystal of CaZrMo2 relaxed with PBEsol.

Cell and atoms, written as POSCAR:
```
CaZrMo2
1.0
3.336 0.000 0.000
0.000 4.670 0.000
0.000 0.000 9.695
Ca Zr Mo
2 2 4
Direct
0.000 0.000 0.000
0.500 0.500 0.000
0.000 0.000 0.500
0.500 0.500 0.500
0.000 0.500 0.267
0.000 0.500 0.733
0.500 0.000 0.267
0.500 0.000 0.733
```

Summary:
D(E_F) in states/eV/cell: 8.1
Total magnetization in μB/atom: 0.00

***

Model x:
VASP calculation (meta-GGA SCAN) on a crystal of CaZrMo2 relaxed with PBEsol.

Cell and atoms, written as POSCAR:
```
CaZrMo2
1.0
3.205 0.000 0.000
0.000 3.205 0.000
0.000 0.000 8.145
Ca Zr Mo
1 1 2
Direct
0.000 0.000 0.000
0.500 0.500 0.645
0.000 0.000 0.434
0.500 0.500 0.271
```

Summary:
D(E_F) in states/eV/cell: 4.0
Total magnetization in μB/atom: 0.00

***

Stability summary: most stable model x, least stable model w.

***

Model w:
VASP calculation (meta-GGA SCAN) on a crystal of Ca3N2 relaxed with PBEsol.

Cell and atoms, written as POSCAR:
```
Ca3N2
1.0
3.840 0.000 0.000
-1.920 3.325 0.000
0.000 0.000 6.624
Ca N
3 2
Direct
0.000 0.000 0.000
0.333 0.667 0.339
0.667 0.333 0.661
0.333 0.667 0.765
0.667 0.333 0.235
```

Summary:
D(E_F) in states/eV/cell: 0.0
Total magnetization in μB/atom: 0.00

***

Model x:
VASP calculation (meta-GGA SCAN) on a crystal of Ca3N2 relaxed with PBEsol.

Cell and atoms, written as POSCAR:
```
Ca3N2
1.0
3.060 1.767 5.483
-3.060 1.767 5.483
0.000 -3.533 5.483
Ca N
6 4
Direct
0.050 0.750 0.450
0.250 0.550 0.950
0.450 0.050 0.750
0.550 0.950 0.250
0.750 0.450 0.050
0.950 0.250 0.550
0.147 0.147 0.147
0.353 0.353 0.353
0.647 0.647 0.647
0.853 0.853 0.853
```

Summary:
Total magnetization in μB/atom: 0.00

***

Stability summary: most stable model x, least stable model w.